[1]
Computed, not measured: a relaxed structure of NdRhAu at the PBE-GGA level of DFT.

abc: 3.6701 3.6701 5.3716
angles: 109.98 109.98 90.00
With the nearest neighbours (Å) after each atom.
Atoms (fractional coordinates):
Nd1 0.9559 0.9559 0.9118  5 Au 3.01-3.10, 5 Rh 3.01-3.17
Au1 0.2757 0.2757 0.5513  5 Rh 2.99-3.22, 5 Nd 3.01-3.10
Rh1 0.6184 0.6184 0.2368  5 Au 2.99-3.22, 5 Nd 3.01-3.17

Calculated values
The value obtained for the formation energy is -0.4965 eV per atom. The calculation puts the total moment at 0.00 μB/f.u. The total energy comes out at -5.629 eV per atom. The value obtained for the offset from the most stable computed form is 0.085 eV per atom.

---

[2]
Computed, not measured: a relaxed structure of AcPm2Tl4 at the PBE-GGA level of DFT.

abc: 5.2386 5.2386 9.9446
angles: 74.73 74.73 60.00
With the nearest neighbours (Å) after each atom.
Atoms (fractional coordinates):
Ac1 0.0000 0.0000 0.0000  6 Tl 3.51, 2 Pm 3.80
Pm1 0.1336 0.1336 0.5993  3 Tl 3.19, 3 Pm 3.56
Pm2 0.8664 0.8664 0.4007  3 Tl 3.19, 3 Pm 3.56
Tl1 0.4315 0.4315 0.7054  3 Pm 3.19, 3 Tl 3.19
Tl2 0.2709 0.2709 0.1873  3 Tl 3.19, 3 Ac 3.51
Tl3 0.7291 0.7291 0.8127  3 Tl 3.19, 3 Ac 3.51
Tl4 0.5685 0.5685 0.2946  3 Pm 3.19, 3 Tl 3.19

Calculated values
The value obtained for the formation energy is -0.1513 eV per atom. The calculation puts the total moment at 0.00 μB/f.u. The total energy comes out at -3.448 eV per atom. The value obtained for the offset from the most stable computed form is 0.043 eV per atom.

---

[3]
Computed, not measured: a relaxed structure of CsLiTi2Tl at the PBE-GGA level of DFT.

abc: 5.1590 5.8288 5.1590
angles: 90.00 90.00 90.00
With the nearest neighbours (Å) after each atom.
Atoms (fractional coordinates):
Cs1 0.0000 0.5000 0.0000  2 Li 2.91
Tl1 0.5000 0.5000 0.5000  4 Cs 3.65, 8 Ti 3.89
Li1 0.0000 0.0000 0.0000  4 Ti 2.58
Ti1 0.0000 0.0000 0.5000  2 Li 2.58
Ti2 0.5000 0.0000 0.0000  2 Li 2.58

Calculated values
The value obtained for the formation energy is 1.2594 eV per atom. The calculation puts the total moment at 5.82 μB/f.u. The total energy comes out at -2.925 eV per atom.

---

[4]
Computed, not measured: a relaxed structure of MnCd2Se at the PBE-GGA level of DFT.

abc: 3.9054 6.4384 3.9695
angles: 71.38 92.09 108.33
With the nearest neighbours (Å) after each atom.
Atoms (fractional coordinates):
Cd1 0.0000 0.0000 0.0000  4 Cd 2.73-2.83
Cd2 0.5000 0.0000 0.5000  4 Cd 2.73-2.83
Mn1 0.0000 0.5000 0.5000  4 Se 2.73-2.83
Se1 0.5000 0.5000 0.0000  4 Mn 2.73-2.83

Calculated values
The calculation puts the total moment at 4.55 μB/f.u. The total energy comes out at -3.555 eV per atom.